Compound: CaTl2Tc
Source: Alexandria via LeMat-Bulk
Functional: GGA-PBE
Structure: relaxed

The structure in CIF format:
```
data_CaTl2Tc
_space_group_name_H-M_alt 'P 1'
_space_group_IT_number 1
_cell_length_a 3.611
_cell_length_b 3.611
_cell_length_c 7.699
_cell_angle_alpha 90.00
_cell_angle_beta 90.00
_cell_angle_gamma 90.00
loop_
_space_group_symop_operation_xyz
'x,y,z'
loop_
_atom_site_label
_atom_site_type_symbol
_atom_site_fract_x
_atom_site_fract_y
_atom_site_fract_z
Ca1 Ca 0.000 0.000 0.000
Tl1 Tl 0.000 0.000 0.402
Tl2 Tl 0.500 0.500 0.679
Tc1 Tc 0.500 0.500 0.262
```

Computed properties:
The energy above the most stable polymorph in this dataset comes out at 0.115 eV/atom. For the total magnetization, the calculation gives 0.0 μB per cell. The formation energy is 0.389 eV/atom. Its symmetry is No. 99.

Compound: CaTl2Tc
Source: Alexandria via LeMat-Bulk
Functional: GGA-PBE
Structure: relaxed

The structure in CIF format:
```
data_CaTl2Tc
_space_group_name_H-M_alt 'P 1'
_space_group_IT_number 1
_cell_length_a 3.577
_cell_length_b 3.577
_cell_length_c 7.096
_cell_angle_alpha 90.00
_cell_angle_beta 90.00
_cell_angle_gamma 90.00
loop_
_space_group_symop_operation_xyz
'x,y,z'
loop_
_atom_site_label
_atom_site_type_symbol
_atom_site_fract_x
_atom_site_fract_y
_atom_site_fract_z
Ca1 Ca 0.000 0.000 0.000
Tl1 Tl 0.500 0.500 0.286
Tl2 Tl 0.500 0.500 0.714
Tc1 Tc 0.000 0.000 0.500
```

Computed properties:
The energy above the most stable polymorph in this dataset comes out at 0.000 eV/atom. For the total magnetization, the calculation gives 0.6 μB per cell. The formation energy is 0.274 eV/atom. Its symmetry is No. 123.

Compound: Ca3TlTc
Source: Alexandria via LeMat-Bulk
Functional: GGA-PBE
Structure: relaxed

The structure in CIF format:
```
data_Ca3TlTc
_space_group_name_H-M_alt 'P 1'
_space_group_IT_number 1
_cell_length_a 5.453
_cell_length_b 5.453
_cell_length_c 5.453
_cell_angle_alpha 90.00
_cell_angle_beta 90.00
_cell_angle_gamma 90.00
loop_
_space_group_symop_operation_xyz
'x,y,z'
loop_
_atom_site_label
_atom_site_type_symbol
_atom_site_fract_x
_atom_site_fract_y
_atom_site_fract_z
Ca1 Ca 0.000 0.000 0.500
Ca2 Ca 0.000 0.500 0.000
Ca3 Ca 0.500 0.000 0.000
Tl1 Tl 0.500 0.500 0.500
Tc1 Tc 0.000 0.000 0.000
```

Computed properties:
The energy above the most stable polymorph in this dataset comes out at 0.000 eV/atom. For the total magnetization, the calculation gives 0.0 μB per cell. The formation energy is 0.423 eV/atom. Its symmetry is No. 221.

Compound: CaTlTc2
Source: Alexandria via LeMat-Bulk
Functional: GGA-PBE
Structure: relaxed

The structure in CIF format:
```
data_CaTlTc2
_space_group_name_H-M_alt 'P 1'
_space_group_IT_number 1
_cell_length_a 6.238
_cell_length_b 6.238
_cell_length_c 6.238
_cell_angle_alpha 101.16
_cell_angle_beta 101.16
_cell_angle_gamma 127.80
loop_
_space_group_symop_operation_xyz
'x,y,z'
loop_
_atom_site_label
_atom_site_type_symbol
_atom_site_fract_x
_atom_site_fract_y
_atom_site_fract_z
Ca1 Ca 0.000 0.000 0.000
Ca2 Ca 0.750 0.250 0.500
Tl1 Tl 0.250 0.750 0.500
Tl2 Tl 0.500 0.500 0.000
Tc1 Tc 0.152 0.625 0.027
Tc2 Tc 0.375 0.402 0.527
Tc3 Tc 0.598 0.125 0.973
Tc4 Tc 0.875 0.848 0.473
```

Computed properties:
The energy above the most stable polymorph in this dataset comes out at 0.948 eV/atom. For the total magnetization, the calculation gives 2.6 μB per cell. The formation energy is 1.116 eV/atom. Its symmetry is No. 122.

Compound: CaTl2Tc
Source: Alexandria via LeMat-Bulk
Functional: GGA-PBE
Structure: relaxed

The structure in CIF format:
```
data_CaTl2Tc
_space_group_name_H-M_alt 'P 1'
_space_group_IT_number 1
_cell_length_a 5.408
_cell_length_b 5.408
_cell_length_c 3.308
_cell_angle_alpha 90.22
_cell_angle_beta 90.22
_cell_angle_gamma 108.53
loop_
_space_group_symop_operation_xyz
'x,y,z'
loop_
_atom_site_label
_atom_site_type_symbol
_atom_site_fract_x
_atom_site_fract_y
_atom_site_fract_z
Ca1 Ca 0.000 0.000 0.000
Tl1 Tl 0.000 0.500 0.500
Tl2 Tl 0.500 0.000 0.500
Tc1 Tc 0.500 0.500 0.000
```

Computed properties:
The energy above the most stable polymorph in this dataset comes out at 0.168 eV/atom. For the total magnetization, the calculation gives 1.8 μB per cell. The formation energy is 0.442 eV/atom. Its symmetry is No. 12.

Compound: CaTl2Tc
Source: Alexandria via LeMat-Bulk
Functional: GGA-PBE
Structure: relaxed

The structure in CIF format:
```
data_CaTl2Tc
_space_group_name_H-M_alt 'P 1'
_space_group_IT_number 1
_cell_length_a 4.607
_cell_length_b 4.607
_cell_length_c 4.376
_cell_angle_alpha 90.00
_cell_angle_beta 90.00
_cell_angle_gamma 90.00
loop_
_space_group_symop_operation_xyz
'x,y,z'
loop_
_atom_site_label
_atom_site_type_symbol
_atom_site_fract_x
_atom_site_fract_y
_atom_site_fract_z
Ca1 Ca 0.000 0.000 0.000
Tl1 Tl 0.000 0.500 0.500
Tl2 Tl 0.500 0.000 0.500
Tc1 Tc 0.500 0.500 0.000
```

Computed properties:
The energy above the most stable polymorph in this dataset comes out at 0.129 eV/atom. For the total magnetization, the calculation gives 2.0 μB per cell. The formation energy is 0.403 eV/atom. Its symmetry is No. 123.

Compound: CaTl2Tc
Source: Alexandria via LeMat-Bulk
Functional: GGA-PBE
Structure: relaxed

The structure in CIF format:
```
data_CaTl2Tc
_space_group_name_H-M_alt 'P 1'
_space_group_IT_number 1
_cell_length_a 5.312
_cell_length_b 5.312
_cell_length_c 5.312
_cell_angle_alpha 128.65
_cell_angle_beta 128.65
_cell_angle_gamma 75.57
loop_
_space_group_symop_operation_xyz
'x,y,z'
loop_
_atom_site_label
_atom_site_type_symbol
_atom_site_fract_x
_atom_site_fract_y
_atom_site_fract_z
Ca1 Ca 0.000 0.000 0.000
Tl1 Tl 0.250 0.750 0.500
Tl2 Tl 0.750 0.250 0.500
Tc1 Tc 0.500 0.500 0.000
```

Computed properties:
The energy above the most stable polymorph in this dataset comes out at 0.040 eV/atom. For the total magnetization, the calculation gives 0.9 μB per cell. The formation energy is 0.314 eV/atom. Its symmetry is No. 139.

Compound: CaTlTc2
Source: Alexandria via LeMat-Bulk
Functional: GGA-PBE
Structure: relaxed

The structure in CIF format:
```
data_CaTlTc2
_space_group_name_H-M_alt 'P 1'
_space_group_IT_number 1
_cell_length_a 3.500
_cell_length_b 4.609
_cell_length_c 4.690
_cell_angle_alpha 90.00
_cell_angle_beta 90.00
_cell_angle_gamma 90.00
loop_
_space_group_symop_operation_xyz
'x,y,z'
loop_
_atom_site_label
_atom_site_type_symbol
_atom_site_fract_x
_atom_site_fract_y
_atom_site_fract_z
Ca1 Ca 0.000 0.000 0.000
Tl1 Tl 0.500 0.500 0.000
Tc1 Tc 0.000 0.500 0.500
Tc2 Tc 0.500 0.000 0.500
```

Computed properties:
The energy above the most stable polymorph in this dataset comes out at 0.518 eV/atom. For the total magnetization, the calculation gives 0.0 μB per cell. The formation energy is 0.686 eV/atom. Its symmetry is No. 47.

Compound: CaTl3Tc
Source: Alexandria via LeMat-Bulk
Functional: GGA-PBE
Structure: relaxed

The structure in CIF format:
```
data_CaTl3Tc
_space_group_name_H-M_alt 'P 1'
_space_group_IT_number 1
_cell_length_a 5.755
_cell_length_b 5.755
_cell_length_c 5.755
_cell_angle_alpha 90.00
_cell_angle_beta 90.00
_cell_angle_gamma 90.00
loop_
_space_group_symop_operation_xyz
'x,y,z'
loop_
_atom_site_label
_atom_site_type_symbol
_atom_site_fract_x
_atom_site_fract_y
_atom_site_fract_z
Ca1 Ca 0.000 0.000 0.000
Tl1 Tl 0.000 0.000 0.500
Tl2 Tl 0.000 0.500 0.000
Tl3 Tl 0.500 0.000 0.000
Tc1 Tc 0.500 0.500 0.500
```

Computed properties:
The energy above the most stable polymorph in this dataset comes out at 1.087 eV/atom. For the total magnetization, the calculation gives 4.1 μB per cell. The formation energy is 1.362 eV/atom. Its symmetry is No. 221.

Compound: CaTlTc2
Source: Alexandria via LeMat-Bulk
Functional: GGA-PBE
Structure: relaxed

The structure in CIF format:
```
data_CaTlTc2
_space_group_name_H-M_alt 'P 1'
_space_group_IT_number 1
_cell_length_a 3.118
_cell_length_b 4.976
_cell_length_c 5.381
_cell_angle_alpha 90.00
_cell_angle_beta 91.20
_cell_angle_gamma 90.00
loop_
_space_group_symop_operation_xyz
'x,y,z'
loop_
_atom_site_label
_atom_site_type_symbol
_atom_site_fract_x
_atom_site_fract_y
_atom_site_fract_z
Ca1 Ca 0.000 0.000 0.000
Tl1 Tl 0.500 0.000 0.500
Tc1 Tc 0.486 0.500 0.792
Tc2 Tc 0.514 0.500 0.208
```

Computed properties:
The energy above the most stable polymorph in this dataset comes out at 0.404 eV/atom. For the total magnetization, the calculation gives 0.0 μB per cell. The formation energy is 0.572 eV/atom. Its symmetry is No. 10.

Compound: CaTlTc4
Source: Alexandria via LeMat-Bulk
Functional: GGA-PBE
Structure: relaxed

The structure in CIF format:
```
data_CaTlTc4
_space_group_name_H-M_alt 'P 1'
_space_group_IT_number 1
_cell_length_a 5.341
_cell_length_b 5.341
_cell_length_c 5.341
_cell_angle_alpha 60.00
_cell_angle_beta 60.00
_cell_angle_gamma 60.00
loop_
_space_group_symop_operation_xyz
'x,y,z'
loop_
_atom_site_label
_atom_site_type_symbol
_atom_site_fract_x
_atom_site_fract_y
_atom_site_fract_z
Ca1 Ca 0.000 0.000 0.000
Tl1 Tl 0.250 0.250 0.250
Tc1 Tc 0.127 0.624 0.624
Tc2 Tc 0.624 0.127 0.624
Tc3 Tc 0.624 0.624 0.127
Tc4 Tc 0.624 0.624 0.624
```

Computed properties:
For the total magnetization, the calculation gives 0.0 μB per cell. The formation energy is 0.379 eV/atom. Its symmetry is No. 216.

Compound: CaTlTc2
Source: Alexandria via LeMat-Bulk
Functional: GGA-PBE
Structure: relaxed

The structure in CIF format:
```
data_CaTlTc2
_space_group_name_H-M_alt 'P 1'
_space_group_IT_number 1
_cell_length_a 5.053
_cell_length_b 5.053
_cell_length_c 5.053
_cell_angle_alpha 130.89
_cell_angle_beta 120.40
_cell_angle_gamma 80.76
loop_
_space_group_symop_operation_xyz
'x,y,z'
loop_
_atom_site_label
_atom_site_type_symbol
_atom_site_fract_x
_atom_site_fract_y
_atom_site_fract_z
Ca1 Ca 0.000 0.000 0.000
Tl1 Tl 0.716 0.216 0.500
Tc1 Tc 0.279 0.779 0.500
Tc2 Tc 0.441 0.441 0.000
```

Computed properties:
The energy above the most stable polymorph in this dataset comes out at 0.260 eV/atom. For the total magnetization, the calculation gives 0.0 μB per cell. The formation energy is 0.428 eV/atom. Its symmetry is No. 44.

Compound: CaTlTc2
Source: Alexandria via LeMat-Bulk
Functional: GGA-PBE
Structure: relaxed

The structure in CIF format:
```
data_CaTlTc2
_space_group_name_H-M_alt 'P 1'
_space_group_IT_number 1
_cell_length_a 5.496
_cell_length_b 5.496
_cell_length_c 5.496
_cell_angle_alpha 136.72
_cell_angle_beta 136.72
_cell_angle_gamma 62.86
loop_
_space_group_symop_operation_xyz
'x,y,z'
loop_
_atom_site_label
_atom_site_type_symbol
_atom_site_fract_x
_atom_site_fract_y
_atom_site_fract_z
Ca1 Ca 0.000 0.000 0.000
Tl1 Tl 0.500 0.500 0.000
Tc1 Tc 0.250 0.750 0.500
Tc2 Tc 0.750 0.250 0.500
```

Computed properties:
The energy above the most stable polymorph in this dataset comes out at 0.575 eV/atom. For the total magnetization, the calculation gives 0.0 μB per cell. The formation energy is 0.743 eV/atom. Its symmetry is No. 139.

Compound: CaTlTc2
Source: Alexandria via LeMat-Bulk
Functional: GGA-PBE
Structure: relaxed

The structure in CIF format:
```
data_CaTlTc2
_space_group_name_H-M_alt 'P 1'
_space_group_IT_number 1
_cell_length_a 9.711
_cell_length_b 9.711
_cell_length_c 9.711
_cell_angle_alpha 18.17
_cell_angle_beta 18.17
_cell_angle_gamma 18.17
loop_
_space_group_symop_operation_xyz
'x,y,z'
loop_
_atom_site_label
_atom_site_type_symbol
_atom_site_fract_x
_atom_site_fract_y
_atom_site_fract_z
Ca1 Ca 0.000 0.000 0.000
Tl1 Tl 0.500 0.500 0.500
Tc1 Tc 0.246 0.246 0.246
Tc2 Tc 0.754 0.754 0.754
```

Computed properties:
The energy above the most stable polymorph in this dataset comes out at 0.728 eV/atom. For the total magnetization, the calculation gives 0.4 μB per cell. The formation energy is 0.896 eV/atom. Its symmetry is No. 166.

Compound: CaTl2Tc
Source: Alexandria via LeMat-Bulk
Functional: GGA-PBE
Structure: relaxed

The structure in CIF format:
```
data_CaTl2Tc
_space_group_name_H-M_alt 'P 1'
_space_group_IT_number 1
_cell_length_a 9.583
_cell_length_b 9.583
_cell_length_c 9.583
_cell_angle_alpha 20.60
_cell_angle_beta 20.60
_cell_angle_gamma 20.60
loop_
_space_group_symop_operation_xyz
'x,y,z'
loop_
_atom_site_label
_atom_site_type_symbol
_atom_site_fract_x
_atom_site_fract_y
_atom_site_fract_z
Ca1 Ca 0.000 0.000 0.000
Tl1 Tl 0.241 0.241 0.241
Tl2 Tl 0.759 0.759 0.759
Tc1 Tc 0.500 0.500 0.500
```

Computed properties:
The energy above the most stable polymorph in this dataset comes out at 0.147 eV/atom. For the total magnetization, the calculation gives 0.4 μB per cell. The formation energy is 0.421 eV/atom. Its symmetry is No. 166.